(1)
First-principles (GGA-PBE) data for a relaxed structure of LuZrRe, as listed in OQMD via LeMat-Bulk.

Computed properties:
calculated volume: 23.342 A^3/atom
distance to the lowest polymorph of the same formula: 0 meV per atom
energy of formation: 0.1628 eV/atom
electronic total energy: -8.34 eV per atom

a b c (Å): 6.5430 6.5430 6.5430
angles (deg): 90.00 90.00 90.00
Space group F-43m (No. 216)
Unique sites:
Lu1 0.0000 0.0000 0.0000 x4
Zr1 0.0000 0.0000 0.5000 x4
Re1 0.2500 0.2500 0.2500 x4

=====

(2)
First-principles (GGA-PBE) data for a relaxed structure of Lu3SbS2, as listed in OQMD via LeMat-Bulk.

Computed properties:
calculated volume: 22.101 A^3/atom
electronic total energy: -5.87 eV per atom

a b c (Å): 3.9730 3.9730 9.7007
angles (deg): 90.00 90.00 120.00
Space group P-3m1 (No. 164)
Unique sites:
Lu1 0.0000 0.0000 0.0000 x1
Lu2 0.3333 0.6667 0.6948 x2
Sb1 0.0000 0.0000 0.5000 x1
S1 0.3333 0.6667 0.1531 x2

=====

Question: Among the records above, which one has the lowest electronic total energy?
Answer: LuZrRe

=====

What did the first record say?
First-principles (GGA-PBE) data for a relaxed structure of LuZrRe, as listed in OQMD via LeMat-Bulk.

Computed properties:
calculated volume: 23.342 A^3/atom
distance to the lowest polymorph of the same formula: 0 meV per atom
energy of formation: 0.1628 eV/atom
electronic total energy: -8.34 eV per atom

a b c (Å): 6.5430 6.5430 6.5430
angles (deg): 90.00 90.00 90.00
Space group F-43m (No. 216)
Unique sites:
Lu1 0.0000 0.0000 0.0000 x4
Zr1 0.0000 0.0000 0.5000 x4
Re1 0.2500 0.2500 0.2500 x4

=====

Question: What is the calculated volume in the second record?
Answer: 22.101 A^3/atom

=====

Question: What is the formula in the first record?
Answer: LuZrRe